Here is a PBEsol-optimized structure of Ba2Fe2O5 from Alexandria via LeMat-Bulk. Energies are from SCAN.

Unit cell a=3.8808 b=3.8808 c=8.0580 alpha=90.00 beta=90.00 gamma=90.00
Site moments in Bohr magnetons follow the coordinates.
Fractional coordinates of all 9 atoms:
O (0.0000, 0.5000, 0.7627)  0.19
O (0.5000, 0.0000, 0.2373)  0.19
O (0.0000, 0.5000, 0.2373)  0.19
Ba (0.0000, 0.0000, 0.0000)  -0.02
O (0.5000, 0.5000, 0.5000)  0.35
Ba (0.0000, 0.0000, 0.5000)  -0.01
Fe (0.5000, 0.5000, 0.2625)  3.75
Fe (0.5000, 0.5000, 0.7375)  3.75
O (0.5000, 0.0000, 0.7627)  0.19

Results
* raw formation energy: -2200.6 meV/atom